# 1
Below is Li2ZnRh after structural relaxation, with properties calculated at the GGA-PBEsol level.

Results
As for the formation energy: -233 meV/atom. For the size of the total moment, the calculation gives 0.00 Bohr magnetons per cell. As for the space group: P4/mmm, No. 123. The crystal system is tetragonal.

Structure (CIF):
```
data_Li2ZnRh
_space_group_name_H-M_alt 'P 1'
_space_group_IT_number 1
_cell_length_a 3.6011
_cell_length_b 3.6011
_cell_length_c 4.0038
_cell_angle_alpha 90.00
_cell_angle_beta 90.00
_cell_angle_gamma 90.00
loop_
_space_group_symop_operation_xyz
'x,y,z'
loop_
_atom_site_label
_atom_site_fract_x
_atom_site_fract_y
_atom_site_fract_z
_atom_site_occupancy
Li1 0.0000 0.5000 0.0000 1
Li2 0.5000 0.0000 0.0000 1
Zn1 0.0000 0.0000 0.5000 1
Rh1 0.5000 0.5000 0.5000 1
```


# 2
Below is Li2ZnRh after structural relaxation, with properties calculated at the GGA-PBEsol level.

Results
As for the formation energy: -222 meV/atom. For the size of the total moment, the calculation gives 0.00 Bohr magnetons per cell. As for the space group: I4/mmm, No. 139. The crystal system is tetragonal.

Structure (CIF):
```
data_Li2ZnRh
_space_group_name_H-M_alt 'P 1'
_space_group_IT_number 1
_cell_length_a 4.7126
_cell_length_b 4.7126
_cell_length_c 4.7126
_cell_angle_alpha 134.83
_cell_angle_beta 134.83
_cell_angle_gamma 65.80
loop_
_space_group_symop_operation_xyz
'x,y,z'
loop_
_atom_site_label
_atom_site_fract_x
_atom_site_fract_y
_atom_site_fract_z
_atom_site_occupancy
Li1 0.2500 0.7500 0.5000 1
Li2 0.7500 0.2500 0.5000 1
Zn1 0.0000 0.0000 0.0000 1
Rh1 0.5000 0.5000 0.0000 1
```


# 3
Below is Li2ZrRh after structural relaxation, with properties calculated at the GGA-PBEsol level.

Results
As for the formation energy: -88 meV/atom. For the size of the total moment, the calculation gives 0.00 Bohr magnetons per cell. As for the space group: I-42d, No. 122. The energy above the most stable polymorph in this dataset comes out at 0.000 eV per atom. The crystal system is tetragonal.

Structure (CIF):
```
data_Li2ZrRh
_space_group_name_H-M_alt 'P 1'
_space_group_IT_number 1
_cell_length_a 10.5786
_cell_length_b 10.5786
_cell_length_c 10.5786
_cell_angle_alpha 160.09
_cell_angle_beta 160.09
_cell_angle_gamma 28.30
loop_
_space_group_symop_operation_xyz
'x,y,z'
loop_
_atom_site_label
_atom_site_fract_x
_atom_site_fract_y
_atom_site_fract_z
_atom_site_occupancy
Li1 0.0871 0.6250 0.9621 1
Li2 0.3750 0.3371 0.4621 1
Li3 0.6629 0.1250 0.0379 1
Li4 0.8750 0.9129 0.5379 1
Zr1 0.2500 0.7500 0.5000 1
Zr2 0.5000 0.5000 0.0000 1
Rh1 0.0000 0.0000 0.0000 1
Rh2 0.7500 0.2500 0.5000 1
```


# 4
Below is LiZr2Rh2 after structural relaxation, with properties calculated at the GGA-PBEsol level.

Results
As for the formation energy: -520 meV/atom. For the size of the total moment, the calculation gives 0.00 Bohr magnetons per cell. As for the space group: P4/mbm, No. 127. The crystal system is tetragonal.

Structure (CIF):
```
data_LiZr2Rh2
_space_group_name_H-M_alt 'P 1'
_space_group_IT_number 1
_cell_length_a 7.5268
_cell_length_b 7.5268
_cell_length_c 3.1668
_cell_angle_alpha 90.00
_cell_angle_beta 90.00
_cell_angle_gamma 90.00
loop_
_space_group_symop_operation_xyz
'x,y,z'
loop_
_atom_site_label
_atom_site_fract_x
_atom_site_fract_y
_atom_site_fract_z
_atom_site_occupancy
Li1 0.0000 0.0000 0.0000 1
Li2 0.5000 0.5000 0.0000 1
Zr1 0.1579 0.3421 0.5000 1
Zr2 0.3421 0.8421 0.5000 1
Zr3 0.6579 0.1579 0.5000 1
Zr4 0.8421 0.6579 0.5000 1
Rh1 0.1388 0.6388 0.0000 1
Rh2 0.3612 0.1388 0.0000 1
Rh3 0.6388 0.8612 0.0000 1
Rh4 0.8612 0.3612 0.0000 1
```


# 5
Below is Li2ZrRh after structural relaxation, with properties calculated at the GGA-PBEsol level.

Results
As for the formation energy: 31 meV/atom. For the size of the total moment, the calculation gives 0.00 Bohr magnetons per cell. As for the space group: P4/mmm, No. 123. The energy above the most stable polymorph in this dataset comes out at 0.119 eV per atom. The crystal system is tetragonal.

Structure (CIF):
```
data_Li2ZrRh
_space_group_name_H-M_alt 'P 1'
_space_group_IT_number 1
_cell_length_a 3.3561
_cell_length_b 3.3561
_cell_length_c 5.2320
_cell_angle_alpha 90.00
_cell_angle_beta 90.00
_cell_angle_gamma 90.00
loop_
_space_group_symop_operation_xyz
'x,y,z'
loop_
_atom_site_label
_atom_site_fract_x
_atom_site_fract_y
_atom_site_fract_z
_atom_site_occupancy
Li1 0.0000 0.0000 0.2064 1
Li2 0.0000 0.0000 0.7936 1
Zr1 0.5000 0.5000 0.5000 1
Rh1 0.5000 0.5000 0.0000 1
```


# 6
Below is Li2Ru after structural relaxation, with properties calculated at the GGA-PBEsol level.

Results
As for the formation energy: 282 meV/atom. For the size of the total moment, the calculation gives 0.01 Bohr magnetons per cell. As for the space group: C2/m, No. 12. The crystal system is monoclinic.

Structure (CIF):
```
data_Li2Ru
_space_group_name_H-M_alt 'P 1'
_space_group_IT_number 1
_cell_length_a 5.3137
_cell_length_b 5.3137
_cell_length_c 6.5232
_cell_angle_alpha 100.75
_cell_angle_beta 100.75
_cell_angle_gamma 27.85
loop_
_space_group_symop_operation_xyz
'x,y,z'
loop_
_atom_site_label
_atom_site_fract_x
_atom_site_fract_y
_atom_site_fract_z
_atom_site_occupancy
Li1 0.0291 0.0291 0.3351 1
Li2 0.3578 0.3578 0.9756 1
Li3 0.6422 0.6422 0.0244 1
Li4 0.9709 0.9709 0.6649 1
Ru1 0.2875 0.2875 0.3565 1
Ru2 0.7125 0.7125 0.6435 1
```